Record 1
ReSiAu PBEsol optimized geometry; formation energy from raw total energies = 0.219 eV per atom; symmetry = I4mm; V = 14.76 Å³/atom
1.0
-0.304 1.119 -2.802
1.757 -2.224 -1.079
-4.622 -2.198 1.265
Re Si Au
1 1 1
direct
0.308 0.308 0.615
0.684 0.684 0.367
0.009 0.009 0.017

Record 2
BaAlPb2 PBEsol optimized geometry; symmetry = F-43m; V = 30.59 Å³/atom; calculated formation energy = -0.33 eV/f.u.
1.0
-3.768 -3.817 -1.512
1.045 -3.401 -4.289
0.992 -5.408 0.909
Ba Pb Al
1 2 1
direct
0.250 0.250 0.250
0.000 0.000 0.000
0.750 0.750 0.750
0.500 0.500 0.500

Record 3
VPt PBEsol optimized geometry; symmetry = Pmma; V = 13.75 Å³/atom; calculated formation energy = -1.16 eV/f.u.
1.0
2.668 0.000 0.000
0.000 4.353 0.000
0.000 0.000 4.736
Pt V
2 2
direct
0.500 0.250 0.320
0.500 0.750 0.680
0.000 0.750 0.170
0.000 0.250 0.830

Record 4
TiSiP2S PBEsol optimized geometry; energy relative to the lowest polymorph listed for this composition = 0.000 eV per formula unit; formation energy from raw total energies = 0.336 eV per atom; symmetry = P4/mmm; V = 19.81 Å³/atom
1.0
4.537 0.000 0.000
0.000 4.673 0.000
0.000 0.000 4.673
S Si P Ti
1 1 2 1
direct
0.500 0.000 0.000
0.500 0.500 0.500
0.000 0.500 0.000
0.000 0.000 0.500
0.000 0.000 0.000

Record 5
TaIn2Tc PBEsol optimized geometry; energy relative to the lowest polymorph listed for this composition = 0.557 eV per formula unit; symmetry = I4/mmm; V = 17.87 Å³/atom; calculated formation energy = 1.44 eV/f.u.
1.0
4.052 0.000 0.000
0.000 4.052 0.000
-2.026 -2.026 4.354
Tc Ta In
1 1 2
direct
0.000 0.000 0.000
0.500 0.500 0.000
0.750 0.250 0.500
0.250 0.750 0.500

Record 6
LiSi2Ni2 PBEsol optimized geometry; formation energy from raw total energies = -0.433 eV per atom; symmetry = I4/mmm; V = 13.15 Å³/atom
1.0
3.638 0.000 0.000
0.000 3.638 0.000
-1.819 -1.819 4.969
Si Li Ni
2 1 2
direct
0.616 0.616 0.231
0.384 0.384 0.769
0.000 0.000 0.000
0.250 0.750 0.500
0.750 0.250 0.500